# 1
# PBE K2TcP2, relaxed
data_K2TcP2
_chemical_formula_sum 'K4 Tc2 P4'
_space_group_name_H-M_alt 'P 1'
_space_group_IT_number 1
_cell_length_a 8.4902
_cell_length_b 8.4902
_cell_length_c 5.1533
_cell_angle_alpha 90.00
_cell_angle_beta 90.00
_cell_angle_gamma 135.68
loop_
_space_group_symop_operation_xyz
'x,y,z'
loop_
_atom_site_label
_atom_site_type_symbol
_atom_site_fract_x
_atom_site_fract_y
_atom_site_fract_z
K1 K 0.4237 0.5763 0.7500
P1 P 0.7126 0.9414 0.2500
P2 P 0.9414 0.7126 0.7500
K2 K 0.2172 0.7828 0.2500
Tc1 Tc 0.0000 0.0000 0.5000
K3 K 0.7828 0.2172 0.7500
Tc2 Tc 0.0000 0.0000 0.0000
P3 P 0.2874 0.0586 0.7500
K4 K 0.5763 0.4237 0.2500
P4 P 0.0586 0.2874 0.2500
# - Raw total energy: -48.8 eV/cell
# - SG: Cmcm (63)
# - Total magnetization: 0.36 μB per cell


# 2
# PBE KZnP, relaxed
data_KZnP
_chemical_formula_sum 'K2 Zn2 P2'
_space_group_name_H-M_alt 'P 1'
_space_group_IT_number 1
_cell_length_a 4.0912
_cell_length_b 4.0912
_cell_length_c 10.2653
_cell_angle_alpha 90.00
_cell_angle_beta 90.00
_cell_angle_gamma 120.00
loop_
_space_group_symop_operation_xyz
'x,y,z'
loop_
_atom_site_label
_atom_site_type_symbol
_atom_site_fract_x
_atom_site_fract_y
_atom_site_fract_z
Zn1 Zn 0.6667 0.3333 0.2500
K1 K 0.0000 0.0000 0.5000
Zn2 Zn 0.3333 0.6667 0.7500
P1 P 0.6667 0.3333 0.7500
P2 P 0.3333 0.6667 0.2500
K2 K 0.0000 0.0000 0.0000
# - Raw total energy: -18.3 eV/cell
# - SG: P6_3/mmc (194)


# 3
# PBE KZnP, relaxed
data_KZnP
_chemical_formula_sum 'K4 Zn4 P4'
_space_group_name_H-M_alt 'P 1'
_space_group_IT_number 1
_cell_length_a 7.7439
_cell_length_b 4.0919
_cell_length_c 9.7077
_cell_angle_alpha 90.00
_cell_angle_beta 90.00
_cell_angle_gamma 90.00
loop_
_space_group_symop_operation_xyz
'x,y,z'
loop_
_atom_site_label
_atom_site_type_symbol
_atom_site_fract_x
_atom_site_fract_y
_atom_site_fract_z
P1 P 0.7948 0.7500 0.0774
P2 P 0.2948 0.7500 0.4226
P3 P 0.7052 0.2500 0.5774
K1 K 0.4897 0.2500 0.1801
K2 K 0.9897 0.2500 0.3199
Zn1 Zn 0.6092 0.7500 0.4831
Zn2 Zn 0.3908 0.2500 0.5169
K3 K 0.0103 0.7500 0.6801
Zn3 Zn 0.8908 0.2500 0.9831
Zn4 Zn 0.1092 0.7500 0.0169
P4 P 0.2052 0.2500 0.9226
K4 K 0.5103 0.7500 0.8199
# - Raw total energy: -35.6 eV/cell
# - SG: Pnma (62)


# 4
# PBE KZnP, relaxed
data_KZnP
_chemical_formula_sum 'K3 Zn3 P3'
_space_group_name_H-M_alt 'P 1'
_space_group_IT_number 1
_cell_length_a 6.7478
_cell_length_b 6.7478
_cell_length_c 4.9858
_cell_angle_alpha 90.00
_cell_angle_beta 90.00
_cell_angle_gamma 120.00
loop_
_space_group_symop_operation_xyz
'x,y,z'
loop_
_atom_site_label
_atom_site_type_symbol
_atom_site_fract_x
_atom_site_fract_y
_atom_site_fract_z
K1 K 0.5568 0.0000 0.5000
Zn1 Zn 0.0000 0.2715 0.0000
K2 K 0.0000 0.5568 0.5000
P1 P 0.3333 0.6667 0.0000
Zn2 Zn 0.2715 0.0000 0.0000
Zn3 Zn 0.7285 0.7285 0.0000
K3 K 0.4432 0.4432 0.5000
P2 P 0.6667 0.3333 0.0000
P3 P 0.0000 0.0000 0.5000
# - Raw total energy: -24.4 eV/cell
# - SG: P-62m (189)


# 5
# PBE KZnP, relaxed
data_KZnP
_chemical_formula_sum 'K3 Zn3 P3'
_space_group_name_H-M_alt 'P 1'
_space_group_IT_number 1
_cell_length_a 8.1706
_cell_length_b 8.1706
_cell_length_c 3.7073
_cell_angle_alpha 90.00
_cell_angle_beta 90.00
_cell_angle_gamma 120.00
loop_
_space_group_symop_operation_xyz
'x,y,z'
loop_
_atom_site_label
_atom_site_type_symbol
_atom_site_fract_x
_atom_site_fract_y
_atom_site_fract_z
K1 K 0.7146 0.7146 0.0000
P1 P 0.0000 0.0000 0.5000
Zn1 Zn 0.6188 0.0000 0.5000
Zn2 Zn 0.3812 0.3812 0.5000
P2 P 0.6667 0.3333 0.0000
Zn3 Zn 0.0000 0.6188 0.5000
K2 K 0.0000 0.2854 0.0000
P3 P 0.3333 0.6667 0.0000
K3 K 0.2854 0.0000 0.0000
# - Raw total energy: -20.1 eV/cell
# - SG: P-62m (189)


# 6
# PBE KZnP, relaxed
data_KZnP
_chemical_formula_sum 'K2 Zn2 P2'
_space_group_name_H-M_alt 'P 1'
_space_group_IT_number 1
_cell_length_a 4.2402
_cell_length_b 4.2402
_cell_length_c 8.7564
_cell_angle_alpha 90.00
_cell_angle_beta 90.00
_cell_angle_gamma 120.00
loop_
_space_group_symop_operation_xyz
'x,y,z'
loop_
_atom_site_label
_atom_site_type_symbol
_atom_site_fract_x
_atom_site_fract_y
_atom_site_fract_z
Zn1 Zn 0.3333 0.6667 0.0007
P1 P 0.6667 0.3333 0.0101
K1 K 0.0000 0.0000 0.7392
K2 K 0.0000 0.0000 0.2392
Zn2 Zn 0.6667 0.3333 0.5007
P2 P 0.3333 0.6667 0.5101
# - Raw total energy: -17.7 eV/cell
# - SG: P6_3mc (186)


# 7
# PBE KZnP, relaxed
data_KZnP
_chemical_formula_sum 'K3 Zn3 P3'
_space_group_name_H-M_alt 'P 1'
_space_group_IT_number 1
_cell_length_a 7.1931
_cell_length_b 7.1931
_cell_length_c 4.5800
_cell_angle_alpha 90.00
_cell_angle_beta 90.00
_cell_angle_gamma 120.00
loop_
_space_group_symop_operation_xyz
'x,y,z'
loop_
_atom_site_label
_atom_site_type_symbol
_atom_site_fract_x
_atom_site_fract_y
_atom_site_fract_z
P1 P 0.6979 0.6979 0.0000
K1 K 0.3978 0.3978 0.5000
Zn1 Zn 0.0000 0.0000 0.5000
Zn2 Zn 0.3333 0.6667 0.0000
K2 K 0.0000 0.6022 0.5000
P2 P 0.0000 0.3021 0.0000
P3 P 0.3021 0.0000 0.0000
Zn3 Zn 0.6667 0.3333 0.0000
K3 K 0.6022 0.0000 0.5000
# - Raw total energy: -22.9 eV/cell
# - SG: P-62m (189)


# 8
# PBE KPaPb, relaxed
data_KPaPb
_chemical_formula_sum 'K1 Pa1 Pb1'
_space_group_name_H-M_alt 'P 1'
_space_group_IT_number 1
_cell_length_a 5.4982
_cell_length_b 5.4982
_cell_length_c 5.4982
_cell_angle_alpha 60.00
_cell_angle_beta 60.00
_cell_angle_gamma 60.00
loop_
_space_group_symop_operation_xyz
'x,y,z'
loop_
_atom_site_label
_atom_site_type_symbol
_atom_site_fract_x
_atom_site_fract_y
_atom_site_fract_z
Pa1 Pa 0.0000 0.0000 0.0000
K1 K 0.5000 0.5000 0.5000
Pb1 Pb 0.2500 0.2500 0.2500
# - Raw total energy: -11.5 eV/cell
# - SG: F-43m (216)
# - Total magnetization: 0.30 μB per cell


# 9
# PBE KPmPa, relaxed
data_KPmPa
_chemical_formula_sum 'K1 Pm1 Pa1'
_space_group_name_H-M_alt 'P 1'
_space_group_IT_number 1
_cell_length_a 5.4406
_cell_length_b 5.4406
_cell_length_c 5.4406
_cell_angle_alpha 60.00
_cell_angle_beta 60.00
_cell_angle_gamma 60.00
loop_
_space_group_symop_operation_xyz
'x,y,z'
loop_
_atom_site_label
_atom_site_type_symbol
_atom_site_fract_x
_atom_site_fract_y
_atom_site_fract_z
Pa1 Pa 0.2500 0.2500 0.2500
Pm1 Pm 0.7500 0.7500 0.7500
K1 K 0.0000 0.0000 0.0000
# - Raw total energy: -9.6 eV/cell
# - SG: F-43m (216)
# - Total magnetization: 3.20 μB per cell


# 10
# PBE KPuPa, relaxed
data_KPuPa
_chemical_formula_sum 'K1 Pu1 Pa1'
_space_group_name_H-M_alt 'P 1'
_space_group_IT_number 1
_cell_length_a 5.4362
_cell_length_b 5.4362
_cell_length_c 5.4362
_cell_angle_alpha 60.00
_cell_angle_beta 60.00
_cell_angle_gamma 60.00
loop_
_space_group_symop_operation_xyz
'x,y,z'
loop_
_atom_site_label
_atom_site_type_symbol
_atom_site_fract_x
_atom_site_fract_y
_atom_site_fract_z
K1 K 0.2500 0.2500 0.2500
Pu1 Pu 0.7500 0.7500 0.7500
Pa1 Pa 0.0000 0.0000 0.0000
# - Raw total energy: -19.7 eV/cell
# - SG: F-43m (216)
# - Total magnetization: 9.57 μB per cell


# 11
# PBE KRbPaSe3, relaxed
data_KRbPaSe3
_chemical_formula_sum 'K2 Rb2 Pa2 Se6'
_space_group_name_H-M_alt 'P 1'
_space_group_IT_number 1
_cell_length_a 10.1386
_cell_length_b 10.1386
_cell_length_c 12.1494
_cell_angle_alpha 90.00
_cell_angle_beta 90.00
_cell_angle_gamma 155.15
loop_
_space_group_symop_operation_xyz
'x,y,z'
loop_
_atom_site_label
_atom_site_type_symbol
_atom_site_fract_x
_atom_site_fract_y
_atom_site_fract_z
K1 K 0.8858 0.1142 0.7500
Rb1 Rb 0.8621 0.1379 0.2500
Se1 Se 0.9045 0.0955 0.9977
Se2 Se 0.9045 0.0955 0.5023
K2 K 0.1142 0.8858 0.2500
Se3 Se 0.0955 0.9045 0.4977
Se4 Se 0.0955 0.9045 0.0023
Pa1 Pa 0.5000 0.5000 0.0000
Se5 Se 0.4944 0.5056 0.2500
Rb2 Rb 0.1379 0.8621 0.7500
Se6 Se 0.5056 0.4944 0.7500
Pa2 Pa 0.5000 0.5000 0.5000
# - Raw total energy: -58.5 eV/cell
# - SG: Cmcm (63)
# - Total magnetization: 2.00 μB per cell


# 12
# PBE KPaRe, relaxed
data_KPaRe
_chemical_formula_sum 'K1 Pa1 Re1'
_space_group_name_H-M_alt 'P 1'
_space_group_IT_number 1
_cell_length_a 4.6491
_cell_length_b 4.6491
_cell_length_c 4.6491
_cell_angle_alpha 60.00
_cell_angle_beta 60.00
_cell_angle_gamma 60.00
loop_
_space_group_symop_operation_xyz
'x,y,z'
loop_
_atom_site_label
_atom_site_type_symbol
_atom_site_fract_x
_atom_site_fract_y
_atom_site_fract_z
Re1 Re 0.2500 0.2500 0.2500
Pa1 Pa 0.7500 0.7500 0.7500
K1 K 0.0000 0.0000 0.0000
# - Raw total energy: -15.6 eV/cell
# - SG: F-43m (216)
# - Total magnetization: 0.08 μB per cell